## La3TmRh (PBE)

Data for a relaxed structure of La3TmRh. Values from VASP.

Structure (Quantum ESPRESSO input):
```
&SYSTEM
  ibrav = 0, nat = 5, ntyp = 3
/
ATOMIC_SPECIES
La 138.91 La.upf
Rh 102.91 Rh.upf
Tm 168.93 Tm.upf
CELL_PARAMETERS angstrom
5.624 0.000 0.000
0.000 5.624 0.000
0.000 0.000 5.624
ATOMIC_POSITIONS angstrom
La 0.000 2.812 0.000
La 2.812 0.000 0.000
La 0.000 0.000 2.812
Rh 0.000 0.000 0.000
Tm 2.812 2.812 2.812
```

Properties
SG = Pm-3m
VASP energy = -5.48 eV per atom
formation enthalpy at 0 K = -0.16 eV per atom

---

## LaTmRh (PBE)

Data for a relaxed structure of LaTmRh. Values from VASP.

Structure (Quantum ESPRESSO input):
```
&SYSTEM
  ibrav = 0, nat = 3, ntyp = 3
/
ATOMIC_SPECIES
La 138.91 La.upf
Rh 102.91 Rh.upf
Tm 168.93 Tm.upf
CELL_PARAMETERS angstrom
-3.133 -1.530 0.297
1.342 -2.308 2.262
-0.567 5.865 3.613
ATOMIC_POSITIONS angstrom
La -0.091 0.247 0.306
Rh -1.416 -0.516 3.019
Tm -0.851 2.296 2.847
```

Properties
SG = I4mm
VASP energy = -6.11 eV per atom
energy above the lowest structure with this stoichiometry = 0.31 eV/f.u.
formation enthalpy at 0 K = -0.53 eV per atom

---

## La2Tm2Rh15 (PBE)

Data for a relaxed structure of La2Tm2Rh15. Values from VASP.

Structure (Quantum ESPRESSO input):
```
&SYSTEM
  ibrav = 0, nat = 19, ntyp = 3
/
ATOMIC_SPECIES
Rh 102.91 Rh.upf
La 138.91 La.upf
Tm 168.93 Tm.upf
CELL_PARAMETERS angstrom
6.952 0.009 0.008
0.911 6.892 0.008
0.911 0.800 6.846
ATOMIC_POSITIONS angstrom
Rh 2.742 0.560 4.774
Rh 5.261 4.617 1.080
Rh 0.456 0.400 3.423
Rh 0.456 3.446 0.004
Rh 3.514 3.085 5.782
Rh 5.121 0.249 2.081
Rh 2.742 4.806 0.008
Rh 0.911 5.046 2.081
Rh 5.261 1.604 4.462
Rh 6.502 2.694 2.400
Rh 5.121 2.095 0.008
Rh 0.911 2.646 4.774
Rh 3.514 6.098 2.400
Rh 2.272 5.008 4.462
Rh 3.476 0.005 0.004
La 3.132 2.749 2.449
La 5.643 4.953 4.413
Tm 7.818 6.862 6.115
Tm 0.956 0.839 0.748
```

Properties
SG = R-3m
VASP energy = -7.19 eV per atom
formation enthalpy at 0 K = -0.40 eV per atom

---

## LaTmRh (PBE)

Data for a relaxed structure of LaTmRh. Values from VASP.

Structure (Quantum ESPRESSO input):
```
&SYSTEM
  ibrav = 0, nat = 6, ntyp = 3
/
ATOMIC_SPECIES
Tm 168.93 Tm.upf
La 138.91 La.upf
Rh 102.91 Rh.upf
CELL_PARAMETERS angstrom
4.809 -0.233 -0.066
0.232 4.813 -0.057
-0.209 -0.182 6.806
ATOMIC_POSITIONS angstrom
Tm 1.538 3.908 6.190
Tm 3.784 1.429 6.184
La 4.025 3.904 3.531
La 1.506 1.616 2.037
Rh 4.215 4.065 0.887
Rh 1.317 1.454 4.681
```

Properties
SG = P-1
VASP energy = -6.21 eV per atom
energy above the lowest structure with this stoichiometry = 0.00 eV/f.u.
formation enthalpy at 0 K = -0.63 eV per atom

---

## La2Tm3Rh2 (PBE)

Data for a relaxed structure of La2Tm3Rh2. Values from VASP.

Structure (Quantum ESPRESSO input):
```
&SYSTEM
  ibrav = 0, nat = 7, ntyp = 3
/
ATOMIC_SPECIES
Tm 168.93 Tm.upf
Rh 102.91 Rh.upf
La 138.91 La.upf
CELL_PARAMETERS angstrom
-2.164 -1.892 2.462
0.982 -6.253 -1.033
5.711 -2.687 5.863
ATOMIC_POSITIONS angstrom
Tm 2.413 -6.942 2.603
Tm -1.082 -0.946 1.231
Tm 2.117 -3.889 4.689
Rh 4.830 -7.978 3.931
Rh -0.300 -2.853 3.361
La 1.228 -3.807 1.062
La 3.302 -7.025 6.229
```

Properties
SG = C2/m
VASP energy = -6.01 eV per atom
formation enthalpy at 0 K = -0.59 eV per atom

---

## LaTmRh (PBE)

Data for a relaxed structure of LaTmRh. Values from VASP.

Structure (Quantum ESPRESSO input):
```
&SYSTEM
  ibrav = 0, nat = 12, ntyp = 3
/
ATOMIC_SPECIES
Tm 168.93 Tm.upf
Rh 102.91 Rh.upf
La 138.91 La.upf
CELL_PARAMETERS angstrom
7.004 0.000 0.000
0.000 6.335 -1.707
0.000 1.802 7.590
ATOMIC_POSITIONS angstrom
Tm 2.956 2.334 2.481
Tm 6.457 1.734 0.461
Tm 4.048 5.803 3.403
Tm 0.546 6.403 5.422
Rh 5.204 3.791 1.854
Rh 1.702 0.277 1.088
Rh 1.800 4.346 4.029
Rh 5.301 7.860 4.796
La 6.427 2.753 4.213
La 0.577 5.384 1.671
La 4.079 5.019 -0.436
La 2.925 3.118 6.319
```

Properties
SG = P2_1/c
VASP energy = -6.16 eV per atom
energy above the lowest structure with this stoichiometry = 0.15 eV/f.u.
formation enthalpy at 0 K = -0.58 eV per atom

---

## LaTmRh (PBE)

Data for a relaxed structure of LaTmRh. Values from VASP.

Structure (Quantum ESPRESSO input):
```
&SYSTEM
  ibrav = 0, nat = 3, ntyp = 3
/
ATOMIC_SPECIES
La 138.91 La.upf
Tm 168.93 Tm.upf
Rh 102.91 Rh.upf
CELL_PARAMETERS angstrom
-3.380 -3.080 -1.763
1.287 -3.475 -3.207
0.024 -4.707 1.366
ATOMIC_POSITIONS angstrom
La 0.000 0.000 0.000
Tm -1.034 -5.631 -1.802
Rh -0.517 -2.816 -0.901
```

Properties
SG = F-43m
VASP energy = -6.11 eV per atom
energy above the lowest structure with this stoichiometry = 0.32 eV/f.u.
formation enthalpy at 0 K = -0.52 eV per atom

---

## LaTmRh (PBE)

Data for a relaxed structure of LaTmRh. Values from VASP.

Structure (Quantum ESPRESSO input):
```
&SYSTEM
  ibrav = 0, nat = 3, ntyp = 3
/
ATOMIC_SPECIES
Tm 168.93 Tm.upf
Rh 102.91 Rh.upf
La 138.91 La.upf
CELL_PARAMETERS angstrom
-1.761 4.900 -3.498
-2.835 0.970 2.787
3.771 1.561 0.289
ATOMIC_POSITIONS angstrom
Tm 1.159 2.505 0.307
Rh -0.018 0.050 -0.035
La -1.966 4.878 -0.694
```

Properties
SG = P3m1
VASP energy = -6.11 eV per atom
energy above the lowest structure with this stoichiometry = 0.31 eV/f.u.
formation enthalpy at 0 K = -0.53 eV per atom

---

## La3TmRh2 (PBE)

Data for a relaxed structure of La3TmRh2. Values from VASP.

Structure (Quantum ESPRESSO input):
```
&SYSTEM
  ibrav = 0, nat = 6, ntyp = 3
/
ATOMIC_SPECIES
La 138.91 La.upf
Tm 168.93 Tm.upf
Rh 102.91 Rh.upf
CELL_PARAMETERS angstrom
4.753 0.003 -1.370
-0.364 4.418 -1.256
-0.255 -0.148 7.983
ATOMIC_POSITIONS angstrom
La 0.564 3.000 1.925
La 3.571 1.272 3.433
La 2.194 2.210 -1.313
Tm 0.000 0.000 0.000
Rh 1.271 3.745 4.324
Rh 2.863 0.528 1.033
```

Properties
SG = C2/m
VASP energy = -6.19 eV per atom
formation enthalpy at 0 K = -0.53 eV per atom

---

## La3TmRh8 (PBE)

Data for a relaxed structure of La3TmRh8. Values from VASP.

Structure (Quantum ESPRESSO input):
```
&SYSTEM
  ibrav = 0, nat = 12, ntyp = 3
/
ATOMIC_SPECIES
Rh 102.91 Rh.upf
La 138.91 La.upf
Tm 168.93 Tm.upf
CELL_PARAMETERS angstrom
5.179 0.000 1.563
2.353 4.613 1.563
-0.010 -0.006 9.393
ATOMIC_POSITIONS angstrom
Rh 7.060 4.324 9.348
Rh 1.410 0.864 4.689
Rh 5.168 3.165 10.957
Rh 4.458 4.314 3.949
Rh 5.869 2.011 3.949
Rh 4.482 4.324 8.570
Rh 3.284 2.011 3.169
Rh 5.889 2.028 8.570
La 2.817 1.725 9.386
La 3.762 2.304 6.257
La 7.531 4.612 3.131
Tm 6.584 4.033 6.266
```

Properties
SG = R3m
VASP energy = -7.21 eV per atom
formation enthalpy at 0 K = -0.70 eV per atom

---

## LaTmZnRh (PBE)

Data for a relaxed structure of LaTmZnRh. Values from VASP.

Structure (Quantum ESPRESSO input):
```
&SYSTEM
  ibrav = 0, nat = 4, ntyp = 4
/
ATOMIC_SPECIES
La 138.91 La.upf
Rh 102.91 Rh.upf
Zn 65.41 Zn.upf
Tm 168.93 Tm.upf
CELL_PARAMETERS angstrom
-3.928 3.158 -0.019
-3.136 0.145 3.943
-0.025 4.009 3.054
ATOMIC_POSITIONS angstrom
La -5.316 5.484 5.233
Rh -3.544 3.656 3.489
Zn 0.000 0.000 0.000
Tm -1.772 1.828 1.744
```

Properties
SG = F-43m
VASP energy = -5.05 eV per atom
formation enthalpy at 0 K = -0.54 eV per atom

---

## LaURh3 (PBE)

Data for a relaxed structure of LaURh3. Values from VASP.

Structure (Quantum ESPRESSO input):
```
&SYSTEM
  ibrav = 0, nat = 10, ntyp = 3
/
ATOMIC_SPECIES
Rh 102.91 Rh.upf
La 138.91 La.upf
U 238.03 U.upf
CELL_PARAMETERS angstrom
6.341 0.000 -0.001
-0.001 6.312 0.008
0.000 -3.150 5.453
ATOMIC_POSITIONS angstrom
Rh 4.756 0.007 2.073
Rh 1.585 1.797 1.036
Rh 1.584 3.155 3.387
Rh 1.584 4.512 1.036
Rh 4.757 -1.350 4.423
Rh 4.755 1.365 4.423
La 1.586 -0.001 3.634
La 4.754 3.163 1.826
U 6.340 6.311 0.007
U 3.170 -3.149 5.452
```

Properties
SG = Cmcm
VASP energy = -8.16 eV per atom
formation enthalpy at 0 K = -0.50 eV per atom

---

## LaURh (PBE)

Data for a relaxed structure of LaURh. Values from VASP.

Structure (Quantum ESPRESSO input):
```
&SYSTEM
  ibrav = 0, nat = 6, ntyp = 3
/
ATOMIC_SPECIES
U 238.03 U.upf
Rh 102.91 Rh.upf
La 138.91 La.upf
CELL_PARAMETERS angstrom
3.671 0.000 0.000
0.000 4.881 0.051
-1.836 -1.142 8.058
ATOMIC_POSITIONS angstrom
U 1.836 0.332 4.073
U 0.000 3.406 4.036
Rh 1.836 2.430 5.845
Rh 0.000 1.309 2.264
La 0.000 0.124 6.929
La 1.836 3.614 1.180
```

Properties
SG = C2/m
VASP energy = -8.18 eV per atom
formation enthalpy at 0 K = -0.33 eV per atom

---

## LaV2Rh2 (PBE)

Data for a relaxed structure of LaV2Rh2. Values from VASP.

Structure (Quantum ESPRESSO input):
```
&SYSTEM
  ibrav = 0, nat = 5, ntyp = 3
/
ATOMIC_SPECIES
V 50.94 V.upf
Rh 102.91 Rh.upf
La 138.91 La.upf
CELL_PARAMETERS angstrom
-0.607 2.013 3.735
-0.527 -3.779 1.952
4.504 -1.103 3.786
ATOMIC_POSITIONS angstrom
V 1.705 -2.883 4.290
V 1.665 0.014 5.182
Rh 2.579 -1.927 6.377
Rh 0.791 -0.942 3.096
La 0.000 0.000 0.000
```

Properties
SG = I4/mmm
VASP energy = -7.92 eV per atom
energy above the lowest structure with this stoichiometry = 0.00 eV/f.u.
formation enthalpy at 0 K = -0.35 eV per atom

---

## LaV2Rh2 (PBE)

Data for a relaxed structure of LaV2Rh2. Values from VASP.

Structure (Quantum ESPRESSO input):
```
&SYSTEM
  ibrav = 0, nat = 5, ntyp = 3
/
ATOMIC_SPECIES
V 50.94 V.upf
Rh 102.91 Rh.upf
La 138.91 La.upf
CELL_PARAMETERS angstrom
4.431 0.000 0.000
0.000 4.431 0.000
2.216 2.216 4.746
ATOMIC_POSITIONS angstrom
V 4.431 4.431 3.529
V 2.216 2.216 1.216
Rh 2.216 4.431 2.373
Rh 4.431 2.216 2.373
La 0.000 0.000 0.000
```

Properties
SG = I4/mmm
VASP energy = -7.76 eV per atom
energy above the lowest structure with this stoichiometry = 0.80 eV/f.u.
formation enthalpy at 0 K = -0.19 eV per atom

---

## LaV2Rh2 (PBE)

Data for a relaxed structure of LaV2Rh2. Values from VASP.

Structure (Quantum ESPRESSO input):
```
&SYSTEM
  ibrav = 0, nat = 10, ntyp = 3
/
ATOMIC_SPECIES
Rh 102.91 Rh.upf
V 50.94 V.upf
La 138.91 La.upf
CELL_PARAMETERS angstrom
7.632 0.000 0.000
0.000 7.632 0.000
0.000 0.000 2.844
ATOMIC_POSITIONS angstrom
Rh 4.840 6.608 1.422
Rh 2.792 1.024 1.422
Rh 6.608 2.792 1.422
Rh 1.024 4.840 1.422
V 1.190 2.626 0.000
V 2.626 6.442 0.000
V 6.442 5.006 0.000
V 5.006 1.190 0.000
La 0.000 0.000 0.000
La 3.816 3.816 0.000
```

Properties
SG = P4/mbm
VASP energy = -7.73 eV per atom
energy above the lowest structure with this stoichiometry = 0.95 eV/f.u.
formation enthalpy at 0 K = -0.16 eV per atom

---

## La2VRh2 (PBE)

Data for a relaxed structure of La2VRh2. Values from VASP.

Structure (Quantum ESPRESSO input):
```
&SYSTEM
  ibrav = 0, nat = 10, ntyp = 3
/
ATOMIC_SPECIES
Rh 102.91 Rh.upf
La 138.91 La.upf
V 50.94 V.upf
CELL_PARAMETERS angstrom
7.366 0.000 0.000
0.000 7.366 0.000
0.000 0.000 4.169
ATOMIC_POSITIONS angstrom
Rh 1.015 2.668 0.000
Rh 6.351 4.698 0.000
Rh 4.698 1.015 0.000
Rh 2.668 6.351 0.000
La 2.408 1.275 2.085
La 1.275 4.958 2.085
La 6.091 2.408 2.085
La 4.958 6.091 2.085
V 0.000 0.000 0.000
V 3.683 3.683 0.000
```

Properties
SG = P4/mbm
VASP energy = -7.05 eV per atom
energy above the lowest structure with this stoichiometry = 0.00 eV/f.u.
formation enthalpy at 0 K = -0.32 eV per atom

---

## LaV2Rh2 (PBE)

Data for a relaxed structure of LaV2Rh2. Values from VASP.

Structure (Quantum ESPRESSO input):
```
&SYSTEM
  ibrav = 0, nat = 10, ntyp = 3
/
ATOMIC_SPECIES
Rh 102.91 Rh.upf
V 50.94 V.upf
La 138.91 La.upf
CELL_PARAMETERS angstrom
7.751 0.000 0.000
0.000 7.751 0.000
0.000 0.000 2.886
ATOMIC_POSITIONS angstrom
Rh 6.342 5.284 0.000
Rh 2.466 6.342 0.000
Rh 5.284 1.409 0.000
Rh 1.409 2.466 0.000
V 3.070 0.805 1.443
V 6.946 3.070 1.443
V 0.805 4.681 1.443
V 4.681 6.946 1.443
La 0.000 0.000 0.000
La 3.875 3.875 0.000
```

Properties
SG = P4/mbm
VASP energy = -7.68 eV per atom
energy above the lowest structure with this stoichiometry = 1.19 eV/f.u.
formation enthalpy at 0 K = -0.11 eV per atom

---

## La2VRh2 (PBE)

Data for a relaxed structure of La2VRh2. Values from VASP.

Structure (Quantum ESPRESSO input):
```
&SYSTEM
  ibrav = 0, nat = 5, ntyp = 3
/
ATOMIC_SPECIES
Rh 102.91 Rh.upf
La 138.91 La.upf
V 50.94 V.upf
CELL_PARAMETERS angstrom
5.720 0.000 0.000
0.000 5.720 0.000
2.860 2.860 3.786
ATOMIC_POSITIONS angstrom
Rh 2.860 2.860 1.369
Rh 5.720 5.720 2.418
La 5.720 2.860 1.893
La 2.860 5.720 1.893
V 0.000 0.000 0.000
```

Properties
SG = I4/mmm
VASP energy = -6.87 eV per atom
energy above the lowest structure with this stoichiometry = 0.94 eV/f.u.
formation enthalpy at 0 K = -0.13 eV per atom

---

## LaV3Rh (PBE)

Data for a relaxed structure of LaV3Rh. Values from VASP.

Structure (Quantum ESPRESSO input):
```
&SYSTEM
  ibrav = 0, nat = 5, ntyp = 3
/
ATOMIC_SPECIES
V 50.94 V.upf
La 138.91 La.upf
Rh 102.91 Rh.upf
CELL_PARAMETERS angstrom
4.494 0.000 0.000
0.000 4.494 0.000
0.000 0.000 4.494
ATOMIC_POSITIONS angstrom
V 0.000 2.247 0.000
V 0.000 0.000 2.247
V 2.247 0.000 0.000
La 0.000 0.000 0.000
Rh 2.247 2.247 2.247
```

Properties
SG = Pm-3m
VASP energy = -6.27 eV per atom
energy above the lowest structure with this stoichiometry = 5.50 eV/f.u.
formation enthalpy at 0 K = 1.66 eV per atom